one:
Here is IBrCl2 after structural relaxation from Alexandria. Energies are from GGA-PBE.

CIF file:
```
data_IBrCl2
_cell_length_a 6.668
_cell_length_b 5.432
_cell_length_c 26.883
_cell_angle_alpha 136.80
_cell_angle_beta 89.97
_cell_angle_gamma 90.05
_space_group_name_H-M_alt 'P 1'
_space_group_IT_number 1
_space_group_name_Hall 'P 1'
loop_
_atom_site_label
_atom_site_type_symbol
_atom_site_fract_x
_atom_site_fract_y
_atom_site_fract_z
_atom_site_occupancy
I1 I 0.877 0.754 0.330 1
I2 I 0.623 0.255 0.831 1
I3 I 0.377 0.745 0.169 1
Cl1 Cl 0.284 0.736 0.556 1
I4 I 0.123 0.246 0.670 1
Br1 Br 0.046 0.155 0.191 1
Cl2 Cl 0.350 0.628 0.855 1
Cl3 Cl 0.784 0.765 0.944 1
Cl4 Cl 0.216 0.235 0.056 1
Cl5 Cl 0.150 0.126 0.355 1
Cl6 Cl 0.716 0.264 0.444 1
Br2 Br 0.546 0.343 0.309 1
Cl7 Cl 0.650 0.372 0.145 1
Br3 Br 0.954 0.845 0.809 1
Br4 Br 0.454 0.657 0.691 1
Cl8 Cl 0.850 0.874 0.645 1
```

Calculated values
As for the crystal system: triclinic. The value obtained for the density is 2.77 g cm⁻³.

---

two:
Here is IBrCl2 after structural relaxation from Alexandria. Energies are from GGA-PBE.

CIF file:
```
data_IBrCl2
_cell_length_a 7.304
_cell_length_b 7.304
_cell_length_c 9.377
_cell_angle_alpha 67.08
_cell_angle_beta 67.08
_cell_angle_gamma 90.00
_space_group_name_H-M_alt 'P 1'
_space_group_IT_number 1
_space_group_name_Hall 'P 1'
loop_
_atom_site_label
_atom_site_type_symbol
_atom_site_fract_x
_atom_site_fract_y
_atom_site_fract_z
_atom_site_occupancy
I1 I 0.750 0.250 0.500 1
Cl1 Cl 0.875 0.125 0.750 1
Cl2 Cl 0.875 0.625 0.250 1
Br1 Br 0.250 0.750 0.500 1
Cl3 Cl 0.875 0.125 0.250 1
I2 I 0.000 0.000 0.000 1
Cl4 Cl 0.375 0.125 0.750 1
Br2 Br 0.500 0.500 0.000 1
```

Calculated values
As for the crystal system: tetragonal. The value obtained for the density is 2.21 g cm⁻³.

---

Which of them is the most stable? Correct choice: one.

---

one:
Here is IBrCl after structural relaxation from Alexandria. Energies are from GGA-PBE.

CIF file:
```
data_IBrCl
_cell_length_a 4.383
_cell_length_b 8.731
_cell_length_c 8.977
_cell_angle_alpha 90.03
_cell_angle_beta 128.21
_cell_angle_gamma 89.98
_space_group_name_H-M_alt 'P 1'
_space_group_IT_number 1
_space_group_name_Hall 'P 1'
loop_
_atom_site_label
_atom_site_type_symbol
_atom_site_fract_x
_atom_site_fract_y
_atom_site_fract_z
_atom_site_occupancy
Br1 Br 0.442 0.791 0.982 1
Br2 Br 0.803 0.291 0.530 1
I1 I 0.365 0.791 0.251 1
Cl1 Cl 0.956 0.291 0.007 1
Cl2 Cl 0.289 0.791 0.506 1
I2 I 0.880 0.291 0.261 1
```

Calculated values
As for the crystal system: monoclinic. The value obtained for the density is 2.98 g cm⁻³.

---

two:
Here is IBrCl after structural relaxation from Alexandria. Energies are from GGA-PBE.

CIF file:
```
data_IBrCl
_cell_length_a 6.013
_cell_length_b 6.001
_cell_length_c 8.572
_cell_angle_alpha 100.24
_cell_angle_beta 104.47
_cell_angle_gamma 110.61
_space_group_name_H-M_alt 'P 1'
_space_group_IT_number 1
_space_group_name_Hall 'P 1'
loop_
_atom_site_label
_atom_site_type_symbol
_atom_site_fract_x
_atom_site_fract_y
_atom_site_fract_z
_atom_site_occupancy
Br1 Br 0.198 0.509 0.872 1
I1 I 0.049 0.807 0.021 1
Br2 Br 0.428 0.270 0.495 1
I2 I 0.239 0.548 0.362 1
Cl1 Cl 0.609 0.934 0.578 1
Cl2 Cl 0.868 0.152 0.165 1
```

Calculated values
As for the crystal system: triclinic. The value obtained for the density is 3.00 g cm⁻³.

---

three:
Here is IBrCl after structural relaxation from Alexandria. Energies are from GGA-PBE.

CIF file:
```
data_IBrCl
_cell_length_a 5.285
_cell_length_b 9.151
_cell_length_c 6.683
_cell_angle_alpha 68.45
_cell_angle_beta 103.19
_cell_angle_gamma 99.87
_space_group_name_H-M_alt 'P 1'
_space_group_IT_number 1
_space_group_name_Hall 'P 1'
loop_
_atom_site_label
_atom_site_type_symbol
_atom_site_fract_x
_atom_site_fract_y
_atom_site_fract_z
_atom_site_occupancy
Cl1 Cl 0.673 0.788 0.039 1
I1 I 0.451 0.059 0.646 1
Cl2 Cl 0.327 0.212 0.961 1
Br1 Br 0.173 0.436 0.681 1
I2 I 0.549 0.941 0.354 1
Br2 Br 0.827 0.564 0.319 1
```

Calculated values
As for the crystal system: triclinic. The value obtained for the density is 2.76 g cm⁻³.

---

four:
Here is IBrCl after structural relaxation from Alexandria. Energies are from GGA-PBE.

CIF file:
```
data_IBrCl
_cell_length_a 5.299
_cell_length_b 6.988
_cell_length_c 7.791
_cell_angle_alpha 79.93
_cell_angle_beta 84.52
_cell_angle_gamma 79.16
_space_group_name_H-M_alt 'P 1'
_space_group_IT_number 1
_space_group_name_Hall 'P 1'
loop_
_atom_site_label
_atom_site_type_symbol
_atom_site_fract_x
_atom_site_fract_y
_atom_site_fract_z
_atom_site_occupancy
Br1 Br 0.045 0.649 0.968 1
Cl1 Cl 0.346 0.115 0.999 1
I1 I 0.976 0.322 0.187 1
I2 I 0.140 0.009 0.734 1
Br2 Br 0.955 0.907 0.472 1
Cl2 Cl 0.640 0.490 0.367 1
```

Calculated values
As for the crystal system: triclinic. The value obtained for the density is 2.89 g cm⁻³.

---

Which of them is the most stable? Correct choice: four.

---

one:
Here is IBrCl after structural relaxation from Alexandria. Energies are from GGA-PBE.

CIF file:
```
data_IBrCl
_cell_length_a 4.366
_cell_length_b 4.945
_cell_length_c 6.104
_cell_angle_alpha 78.08
_cell_angle_beta 75.91
_cell_angle_gamma 87.63
_space_group_name_H-M_alt 'P 1'
_space_group_IT_number 1
_space_group_name_Hall 'P 1'
loop_
_atom_site_label
_atom_site_type_symbol
_atom_site_fract_x
_atom_site_fract_y
_atom_site_fract_z
_atom_site_occupancy
Cl1 Cl 0.001 0.567 0.900 1
I1 I 0.318 0.323 0.171 1
Br1 Br 0.650 0.064 0.460 1
```

Calculated values
As for the crystal system: triclinic. The value obtained for the density is 3.22 g cm⁻³.

---

two:
Here is IBrCl after structural relaxation from Alexandria. Energies are from GGA-PBE.

CIF file:
```
data_IBrCl
_cell_length_a 5.849
_cell_length_b 6.916
_cell_length_c 7.104
_cell_angle_alpha 79.01
_cell_angle_beta 87.79
_cell_angle_gamma 72.97
_space_group_name_H-M_alt 'P 1'
_space_group_IT_number 1
_space_group_name_Hall 'P 1'
loop_
_atom_site_label
_atom_site_type_symbol
_atom_site_fract_x
_atom_site_fract_y
_atom_site_fract_z
_atom_site_occupancy
Cl1 Cl 0.984 0.319 0.264 1
I1 I 0.500 0.000 0.000 1
I2 I 0.000 0.000 0.500 1
Br1 Br 0.329 0.754 0.275 1
Br2 Br 0.671 0.246 0.725 1
Cl2 Cl 0.016 0.681 0.736 1
```

Calculated values
As for the crystal system: triclinic. The value obtained for the density is 2.98 g cm⁻³.

---

Which of them is the most stable? Correct choice: two.